13
Lattice="-3.936 -5.163 1.254 5.089 -2.422 6.002 -6.247 6.217 2.158" Properties=species:S:1:pos:R:3 comment="Pr8Bi2Au3 PBE optimized geometry" e_tot_ev_per_atom=-4.75 pbc="T T T"
Pr -1.476 -4.903 4.920
Pr -3.618 3.535 4.494
Pr -4.520 -2.818 2.695
Pr -0.574 1.450 6.719
Pr -4.237 0.093 6.185
Pr -6.539 1.189 3.469
Pr 1.445 -2.557 5.945
Pr -0.857 -1.462 3.230
Bi -3.248 0.717 3.043
Bi -1.847 -2.085 6.372
Au -1.968 -2.581 0.627
Au 0.876 -0.417 1.034
Au 4.213 -2.005 4.969



10
Lattice="2.909 0.000 -0.636 -0.274 5.806 -1.254 -0.080 -0.373 6.604" Properties=species:S:1:pos:R:3 comment="TaV5C4 PBE optimized geometry" e_tot_ev_per_atom=-9.88 pbc="T T T"
Ta 1.455 0.000 -0.318
V 2.172 3.646 2.962
V 2.335 0.602 3.709
V 0.220 4.832 1.006
V 1.317 2.903 -0.945
V 0.383 1.787 1.752
C 0.648 5.003 2.964
C 2.611 3.873 4.970
C 1.907 0.430 1.751
C -0.056 1.560 -0.256



20
Lattice="6.502 0.084 0.117 -1.485 6.331 0.117 -1.485 -1.899 6.041" Properties=species:S:1:pos:R:3 comment="PmHo3B4O12 PBE optimized geometry" e_tot_ev_per_atom=-8.32 pbc="T T T"
Pm 0.000 0.000 0.000
Ho 2.792 2.986 0.117
Ho 2.225 -0.978 3.289
Ho -1.485 2.508 2.869
B 5.470 -0.639 3.137
B -1.938 1.338 5.884
B 1.766 6.075 0.390
B 1.766 2.258 3.137
O 1.766 1.138 3.943
O 4.963 3.052 0.766
O -1.431 4.759 3.137
O 1.766 -1.036 5.508
O 0.665 5.855 1.212
O -0.848 0.474 5.937
O 5.523 0.497 2.334
O 2.867 5.225 0.337
O -1.991 2.460 5.062
O 4.380 -0.964 3.940
O 2.853 2.528 2.331
O 0.679 3.108 3.137



14
Lattice="4.177 0.000 0.000 2.089 7.856 -0.157 2.089 1.628 7.687" Properties=species:S:1:pos:R:3 comment="Ho3Ga9Cu2 PBE optimized geometry" e_tot_ev_per_atom=-3.99 pbc="T T T"
Ho 0.000 0.000 0.000
Ho 4.177 3.029 2.405
Ho 4.177 6.455 5.125
Ga 2.089 4.742 3.765
Ga 6.266 8.739 5.315
Ga 2.089 0.744 2.215
Ga 6.266 7.158 7.307
Ga 2.089 2.326 0.223
Ga 6.266 7.371 3.000
Ga 2.089 2.113 4.531
Ga 6.266 4.592 6.499
Ga 2.089 4.892 1.031
Cu 4.177 3.387 5.472
Cu 4.177 6.097 2.058



12
Lattice="7.256 -0.124 -0.007 -0.109 6.805 -0.004 0.000 0.015 8.464" Properties=species:S:1:pos:R:3 comment="HfTl2PbCl8 PBE optimized geometry" e_tot_ev_per_atom=-4.16 pbc="T T T"
Hf 0.000 0.000 0.000
Tl 3.575 3.350 6.391
Tl 3.572 3.346 2.062
Pb 0.000 0.008 4.232
Cl 0.765 5.305 1.785
Cl 5.040 5.501 8.454
Cl 6.380 1.381 1.776
Cl 6.382 1.390 6.669
Cl 2.107 1.195 -0.001
Cl 0.767 5.315 6.677
Cl 4.869 5.006 4.224
Cl 2.278 1.690 4.229



4
Lattice="3.343 0.000 0.000 0.000 3.530 -0.008 0.000 0.013 6.425" Properties=species:S:1:pos:R:3 comment="Ni2TeBr PBE optimized geometry" de_polymorph_mev_per_atom=157 e_tot_ev_per_atom=-4.02 pbc="T T T"
Br 1.672 2.658 4.813
Ni 0.000 2.651 0.374
Ni 0.000 2.651 2.827
Te 1.672 0.886 1.604



10
Lattice="4.183 0.000 0.000 0.000 4.183 0.000 0.000 0.000 9.603" Properties=species:S:1:pos:R:3 comment="U2Si4TcOs3 PBE optimized geometry" e_tot_ev_per_atom=-9.24 pbc="T T T"
U 2.091 0.000 2.464
U 0.000 2.091 7.140
Si 2.091 2.091 0.000
Si 0.000 0.000 0.000
Si 2.091 0.000 6.019
Si 0.000 2.091 3.584
Tc 2.091 2.091 4.802
Os 0.000 0.000 4.802
Os 2.091 0.000 8.368
Os 0.000 2.091 1.235



5
Lattice="3.936 0.000 0.000 0.000 3.936 0.000 0.000 0.000 5.662" Properties=species:S:1:pos:R:3 comment="BeHgTeN2 PBE optimized geometry" de_polymorph_mev_per_atom=0 e_tot_ev_per_atom=-3.40 pbc="T T T"
Be 0.000 0.000 0.000
Te 0.000 0.000 2.831
Hg 1.968 1.968 2.831
N 0.000 1.968 0.000
N 1.968 0.000 0.000



5
Lattice="3.930 0.000 0.000 0.000 6.434 0.000 0.000 0.000 3.930" Properties=species:S:1:pos:R:3 comment="GaPPbC2 PBE optimized geometry" e_tot_ev_per_atom=-4.05 pbc="T T T"
Pb 0.000 3.217 0.000
P 1.965 3.217 1.965
C 0.000 0.000 1.965
C 1.965 0.000 0.000
Ga 0.000 0.000 0.000



16
Lattice="4.459 0.000 0.000 -2.230 8.231 0.000 0.000 0.000 9.189" Properties=species:S:1:pos:R:3 comment="Ca2Zn5Sn PBE optimized geometry" e_tot_ev_per_atom=-2.11 pbc="T T T"
Ca 2.230 4.946 6.892
Ca 0.000 3.285 2.297
Ca 0.000 0.000 0.000
Ca 0.000 0.000 4.594
Zn 0.000 3.087 8.174
Zn 2.230 5.144 1.015
Zn 0.000 3.087 5.609
Zn 2.230 5.144 3.580
Zn 0.000 5.671 9.041
Zn 2.230 2.560 0.148
Zn 0.000 5.671 4.742
Zn 2.230 2.560 4.447
Zn 2.230 1.802 6.892
Zn 0.000 6.429 2.297
Sn 0.000 7.350 6.892
Sn 2.230 0.882 2.297



14
Lattice="-2.912 -2.192 -6.478 5.079 -2.858 -4.614 -0.374 -9.559 -1.812" Properties=species:S:1:pos:R:3 comment="Mg5GaHg PBE optimized geometry" de_polymorph_mev_per_atom=255 e_tot_ev_per_atom=-1.47 pbc="T T T"
Mg 1.329 -5.387 -8.664
Mg 2.359 -7.032 -5.929
Mg 1.601 -10.204 -9.463
Mg -2.193 -4.649 -6.742
Mg 2.564 -3.042 -5.382
Mg -0.771 -11.566 -7.522
Mg 3.986 -9.959 -6.162
Mg 0.192 -4.404 -3.441
Mg -0.566 -7.577 -6.975
Mg 0.464 -9.221 -4.240
Ga 0.000 0.000 0.000
Ga -0.187 -4.779 -0.906
Hg 0.536 -4.877 -6.105
Hg 1.257 -9.732 -6.799



3
Lattice="-2.580 -0.155 -2.134 -1.185 -2.678 1.630 -0.728 4.362 3.194" Properties=species:S:1:pos:R:3 comment="ErVSi PBE optimized geometry" e_tot_ev_per_atom=-6.56 pbc="T T T"
Si -0.207 0.233 0.233
Er -1.738 1.961 1.958
V -2.548 -0.665 0.499